# Ag2TeP, optimized geometry, DFT PBE
data_Ag2TeP
_space_group_name_H-M_alt 'P 1'
_space_group_IT_number 1
_cell_length_a 4.0158
_cell_length_b 3.0059
_cell_length_c 7.1607
_cell_angle_alpha 77.98
_cell_angle_beta 90.00
_cell_angle_gamma 90.00
loop_
_space_group_symop_operation_xyz
'x,y,z'
loop_
_atom_site_label
_atom_site_type_symbol
_atom_site_fract_x
_atom_site_fract_y
_atom_site_fract_z
Ag1 Ag 0.0000 0.9225 0.0314
Ag2 Ag 0.5000 0.3013 0.2743
P1 P 0.0000 0.7315 0.4132
Te1 Te 0.5000 0.5446 0.7810
# Mass density (g cm⁻³): 7.352
# Symmetry: No. 6
# Uncorrected formation energy (kJ per mole of atoms): 23.6
# Magnetic moment (μB per formula unit): 0.00
# Polymorph energy (0 for the lowest one) (eV/atom): 0.0416
# DOS at the Fermi energy (states/eV per cell): 2.03
# Calculated total energy (eV per atom): -3.32